[1]
First-principles (SCAN) data for a crystal of Cr2CoMo relaxed with PBEsol, as listed in the Alexandria database.

Geometry as POSCAR:
```
Cr2CoMo
1.0
4.291 -1.266 0.000
4.291 1.266 0.000
-0.749 0.000 4.416
Cr Co Mo
2 1 1
Cartesian
1.827 0.000 1.008
6.006 0.000 3.408
4.291 0.000 0.000
-0.375 0.000 2.208
```

Results
Space group = C2/m, No. 12
Total DFT energy (no corrections) = -87.7 eV/f.u.
Formation energy from the elements = 327 meV per atom

[2]
First-principles (SCAN) data for a crystal of Na3ScC relaxed with PBEsol, as listed in the Alexandria database.

Geometry as POSCAR:
```
Na3ScC
1.0
6.278 0.000 0.000
0.000 6.278 0.000
0.000 0.000 6.278
Na Sc C
3 1 1
Cartesian
0.000 0.000 3.139
0.000 3.139 0.000
3.139 0.000 0.000
0.000 0.000 0.000
3.139 3.139 3.139
```

Results
Space group = Pm-3m, No. 221
Total DFT energy (no corrections) = -26.5 eV/f.u.
Formation energy from the elements = 2106 meV per atom

[3]
First-principles (SCAN) data for a crystal of ZnHgAs2 relaxed with PBEsol, as listed in the Alexandria database.

Geometry as POSCAR:
```
ZnHgAs2
1.0
-1.923 1.923 5.242
1.923 -1.923 5.242
1.923 1.923 -5.242
Zn Hg As
1 1 2
Cartesian
0.000 0.000 0.000
0.000 0.000 5.242
1.923 0.000 2.621
0.000 1.923 2.621
```

Results
Space group = I4/mmm, No. 139
Total DFT energy (no corrections) = -120.6 eV/f.u.
Formation energy from the elements = 358 meV per atom

[4]
First-principles (SCAN) data for a crystal of RePb2Br relaxed with PBEsol, as listed in the Alexandria database.

Geometry as POSCAR:
```
RePb2Br
1.0
1.711 0.988 9.037
-1.711 0.988 9.037
0.000 -1.976 9.037
Re Pb Br
1 2 1
Cartesian
0.000 0.000 0.000
0.000 0.000 6.993
0.000 0.000 20.117
0.000 0.000 13.555
```

Results
E_form (uncorrected) = 0.65 eV/atom
Space group = R-3m, No. 166
Total DFT energy (no corrections) = -239.5 eV/f.u.

[5]
First-principles (SCAN) data for a crystal of SiHg relaxed with PBEsol, as listed in the Alexandria database.

Geometry as POSCAR:
```
SiHg
1.0
3.809 0.000 0.000
0.000 3.809 0.000
0.000 0.000 2.789
Si Hg
1 1
Cartesian
0.000 0.000 0.000
1.905 1.905 0.000
```

Results
E_form (uncorrected) = 0.52 eV/atom
Space group = P4/mmm, No. 123
Total DFT energy (no corrections) = -77.1 eV/f.u.

[6]
First-principles (SCAN) data for a crystal of Os2PtCF relaxed with PBEsol, as listed in the Alexandria database.

Geometry as POSCAR:
```
Os2PtCF
1.0
3.962 0.000 0.000
0.000 3.962 0.000
0.000 0.000 4.571
Os Pt C F
2 1 1 1
Cartesian
0.000 1.981 0.000
1.981 0.000 0.000
0.000 0.000 2.285
1.981 1.981 2.285
0.000 0.000 0.000
```

Results
E_form (uncorrected) = 2.92 eV/atom
Space group = P4/mmm, No. 123
Total DFT energy (no corrections) = -213.0 eV/f.u.